[1]
13
Lattice="3.7573 0.0000 0.0000 0.0001 6.6825 -6.7368 -0.0002 -1.3264 10.5422" Properties=species:S:1:pos:R:3 comment="U2Pa3N8 | Alexandria via LeMat-Bulk | PBE-GGA | relaxed" total_energy_ev_per_atom=-10.48 sg="P2/m, No. 10" formation_energy_uncorrected_kj_per_mol_atoms=-138.19 rho_g_cm3=9.21 pbc="T T T"
N 1.8787 2.0111 -1.2219
N 0.0000 3.8570 -2.0410
N 0.0000 0.1853 1.3511
N 1.8785 -0.3753 6.5865
N 3.7571 1.4991 5.8462
N 1.8785 3.3450 5.0272
N 1.8787 5.7314 -2.7812
N 3.7572 5.1708 2.4542
Pa -0.0001 0.2610 7.9137
Pa 3.7573 5.0951 -4.1084
Pa 1.8786 0.0000 0.0000
U 1.8785 1.0907 4.8626
U 1.8787 4.2654 -1.0573

***

[2]
12
Lattice="5.9086 0.1454 0.8983 1.4530 5.0156 2.9239 0.0997 0.0546 5.9815" Properties=species:S:1:pos:R:3 comment="U5PaN6 | Alexandria via LeMat-Bulk | PBE-GGA | relaxed" total_energy_ev_per_atom=-11.02 sg="C2/m, No. 12" formation_energy_uncorrected_kj_per_mol_atoms=-131.39 rho_g_cm3=14.31 pbc="T T T"
U 4.1983 4.2703 4.8799
U 0.5177 1.6907 2.9673
U 3.6808 2.5805 1.9111
U 3.2630 0.9452 4.9238
U 1.0350 3.3795 5.9381
N 4.5756 0.5485 2.9253
N 2.8857 4.6671 6.8784
N 5.0961 2.2499 5.8729
N 2.3652 2.9657 3.9308
N 5.5108 3.8618 2.8604
N 1.8508 1.2991 0.9618
Pa 0.0000 0.0000 0.0000

***

[3]
10
Lattice="-3.2058 -3.2199 -1.7953 -2.2670 -3.7323 4.0947 -5.6731 1.9100 0.0573" Properties=species:S:1:pos:R:3 comment="U4PaN5 | Alexandria via LeMat-Bulk | PBE-GGA | relaxed" total_energy_ev_per_atom=-11.00 sg="I4/m, No. 87" formation_energy_uncorrected_kj_per_mol_atoms=-132.21 rho_g_cm3=14.26 pbc="T T T"
U -6.7294 -1.2624 0.9724
U -3.3751 -0.6246 0.4861
U -7.7774 -4.4242 1.8670
U -4.4231 -3.7863 1.3806
N -1.6066 -1.6137 -0.8998
N -4.9816 -2.2322 -0.4089
N -8.3313 -2.8753 0.0787
N -2.8210 -2.1732 2.2744
N -6.1707 -2.8163 2.7620
Pa -0.0034 -0.0035 -0.0019

***

[4]
10
Lattice="-1.0546 4.6657 -3.6741 -4.8304 -0.0374 -3.6120 -4.5091 3.6327 0.9564" Properties=species:S:1:pos:R:3 comment="UPaN3 | Alexandria via LeMat-Bulk | PBE-GGA | relaxed" total_energy_ev_per_atom=-10.47 sg="R-3c, No. 167" formation_energy_uncorrected_kj_per_mol_atoms=-126.89 rho_g_cm3=11.40 pbc="T T T"
U -5.1970 4.1305 -3.1648
U 0.0000 0.0000 0.0000
Pa -7.7955 6.1958 -4.7472
Pa -2.5985 2.0653 -1.5824
N -7.1304 3.2529 -2.4298
N -6.0346 3.7646 -5.2173
N -4.3594 4.4965 -1.1123
N -6.0118 6.2096 -3.4135
N -3.2637 5.0081 -3.8998
N -4.3822 2.0514 -2.9162

***

[5]
3
Lattice="-2.4534 -0.2319 -1.9064 1.9131 -0.5646 -2.3934 -0.0380 -5.2280 3.2308" Properties=species:S:1:pos:R:3 comment="UPaN | Alexandria via LeMat-Bulk | PBE-GGA | relaxed" total_energy_ev_per_atom=-10.18 sg="I4mm, No. 107" formation_energy_uncorrected_kj_per_mol_atoms=-46.41 e_above_lowest_polymorph_kj_per_mol_fu=53 rho_g_cm3=14.40 pbc="T T T"
U -0.1845 -3.3689 0.6473
N -0.2984 -5.4488 1.0469
Pa -0.0409 -0.7468 0.1435

***

[6]
14
Lattice="6.8628 0.2481 -0.1113 -0.2474 6.8628 0.1111 -3.2259 -3.6312 4.8564" Properties=species:S:1:pos:R:3 comment="U2PaN4 | Alexandria via LeMat-Bulk | PBE-GGA | relaxed" total_energy_ev_per_atom=-10.62 sg="Fd-3m, No. 227" formation_energy_uncorrected_kj_per_mol_atoms=-123.36 rho_g_cm3=11.06 pbc="T T T"
U -1.6543 -0.1188 3.6700
U 1.7770 0.0052 3.6143
U 3.3900 1.8209 1.1863
U 3.2662 5.2522 1.2418
N 0.0055 1.5307 3.7592
N 5.0417 0.1608 1.2238
N 3.5488 -1.5199 3.4701
N 3.4336 1.6571 3.5211
N 0.1201 -1.6470 3.7082
N 4.9156 3.5955 1.0969
N 1.7379 3.4806 1.1481
N 1.8647 0.0465 1.2751
Pa -0.0828 3.3936 2.4837
Pa 3.3894 3.4797 4.8562